Tb7Pm3Sc | GGA-PBE | optimized geometry

Results
Relative energy among the computed polymorphs ... 0.262 eV per formula unit
Theoretical density ... 7.13 Mg/m³
E_tot ... -4.638 eV per atom
Formation enthalpy at 0 K ... 0.1797 eV/atom

Cell and atoms, written as extended XYZ:
```
11
Lattice="7.045 0.000 0.000 -3.523 6.102 0.000 0.000 0.000 8.624" Properties=species:S:1:pos:R:3 pbc="T T T"
Tb 0.000 0.000 0.000
Tb 0.000 2.023 5.809
Tb -1.771 5.090 5.809
Tb 3.523 0.019 8.614
Tb 1.778 3.041 8.614
Tb 1.771 5.090 5.809
Tb 5.268 3.041 8.614
Pm 1.771 1.022 2.937
Pm 5.275 1.022 2.937
Pm 3.523 4.057 2.937
Sc 3.523 2.034 5.845
```